Material: Pm5Ni2Pb5
Method: DFT, PBE
State: relaxed

Cell lengths 4.4850, 8.6809, 9.0737 Å; angles 82.16, 75.69, 75.03 degrees
Fractional coordinates of all 12 atoms:
Pm1 0.5000 0.5000 0.5000
Pm2 0.3787 0.3240 0.9187
Pm3 0.3106 0.0621 0.3167
Pm4 0.6894 0.9379 0.6833
Pm5 0.6213 0.6760 0.0813
Ni1 0.8617 0.5267 0.7499
Ni2 0.1383 0.4733 0.2501
Pb1 0.9393 0.7687 0.3527
Pb2 0.2539 0.6923 0.7999
Pb3 0.7461 0.3077 0.2001
Pb4 0.0607 0.2313 0.6473
Pb5 0.0000 0.0000 0.0000

## Properties
**N(E_F)**: 5.67 states/eV/f.u.
**Energy**: -0.363 Ry per atom
**Total magnetic moment**: 0.00 μB/f.u.
**E_form**: -0.451 eV/atom